Density functional theory data (PBE) for AlOsRh2 after structural relaxation.

Cell and atoms, written as POSCAR:
```
AlOsRh2
1.0
0.0000 3.0545 3.0545
3.0545 0.0000 3.0545
3.0545 3.0545 0.0000
Al Os Rh
1 1 2
direct
0.0000 0.0000 0.0000
0.2500 0.2500 0.2500
0.5000 0.5000 0.5000
0.7500 0.7500 0.7500
```

## Properties
For the density of states at the Fermi level, the calculation gives 4.741 states/eV per cell. For the formation enthalpy at 0 K, the calculation gives -0.4 eV/f.u. The calculation puts the density at 12.325 g cm⁻³. Its space group is F-43m (216).